(1)
# LaMg6Bi (PBE, optimized geometry)
data_LaMg6Bi
_chemical_formula_sum 'La2 Mg12 Bi2'
_symmetry_space_group_name_H-M 'A m m 2'
_symmetry_Int_Tables_number 38
_symmetry_space_group_name_Hall 'A 2 -2'
_cell_length_a 5.065
_cell_length_b 6.557
_cell_length_c 12.808
_cell_angle_alpha 90.00
_cell_angle_beta 90.00
_cell_angle_gamma 90.00
loop_
_atom_site_label
_atom_site_type_symbol
_atom_site_fract_x
_atom_site_fract_y
_atom_site_fract_z
_atom_site_occupancy
La1 La 0.000 0.000 0.000 1
Mg1 Mg 0.000 0.000 0.545 1
Mg2 Mg 0.000 0.227 0.257 1
Mg3 Mg 0.500 0.000 0.397 1
Mg4 Mg 0.500 0.246 0.121 1
Bi1 Bi 0.500 0.000 0.827 1
# * Fermi-level density of states: 7.9 states/eV per cell
# * magnetic moment: 0.0 μB per formula unit
# * energy of formation from the pure elements: -109 meV/atom
# * relative energy among the computed polymorphs: 0.000 eV/atom
# * E_tot: -38.50 eV per cell



(2)
# NbTlGeRh2 (PBE, optimized geometry)
data_NbTlGeRh2
_chemical_formula_sum 'Nb1 Tl1 Ge1 Rh2'
_symmetry_space_group_name_H-M 'P 4/m m m'
_symmetry_Int_Tables_number 123
_symmetry_space_group_name_Hall '-P 4 2'
_cell_length_a 4.797
_cell_length_b 4.797
_cell_length_c 5.074
_cell_angle_alpha 90.00
_cell_angle_beta 90.00
_cell_angle_gamma 90.00
loop_
_atom_site_label
_atom_site_type_symbol
_atom_site_fract_x
_atom_site_fract_y
_atom_site_fract_z
_atom_site_occupancy
Nb1 Nb 0.000 0.000 0.000 1
Tl1 Tl 0.500 0.500 0.500 1
Ge1 Ge 0.000 0.000 0.500 1
Rh1 Rh 0.000 0.500 0.000 1
# * Fermi-level density of states: 4.3 states/eV per cell
# * magnetic moment: 0.0 μB per formula unit
# * energy of formation from the pure elements: 755 meV/atom
# * E_tot: -27.98 eV per cell



(3)
# CeTlCd2 (PBE, optimized geometry)
data_CeTlCd2
_chemical_formula_sum 'Ce1 Tl1 Cd2'
_symmetry_space_group_name_H-M 'P 4/m m m'
_symmetry_Int_Tables_number 123
_symmetry_space_group_name_Hall '-P 4 2'
_cell_length_a 3.799
_cell_length_b 3.799
_cell_length_c 7.466
_cell_angle_alpha 90.00
_cell_angle_beta 90.00
_cell_angle_gamma 90.00
loop_
_atom_site_label
_atom_site_type_symbol
_atom_site_fract_x
_atom_site_fract_y
_atom_site_fract_z
_atom_site_occupancy
Ce1 Ce 0.000 0.000 0.000 1
Tl1 Tl 0.000 0.000 0.500 1
Cd1 Cd 0.500 0.500 0.263 1
# * Fermi-level density of states: 8.0 states/eV per cell
# * magnetic moment: 1.4 μB per formula unit
# * energy of formation from the pure elements: -78 meV/atom
# * relative energy among the computed polymorphs: 0.115 eV/atom
# * E_tot: -10.44 eV per cell



Question: What is the formula in the third record?
Answer: CeTlCd2



Question: What is the Fermi-level density of states in the second record?
Answer: 4.3 states/eV per cell